# 1
This record from Alexandria via LeMat-Bulk describes Tb3Nd4Ho8 after structural relaxation. The functional is PBE-GGA.

The magnetization comes out at 0.001 μB per formula unit. Its formation energy is 2.79 kcal/mol of atoms. As for the relative energy among the computed polymorphs: 0 meV per atom. The density of states at the Fermi level comes out at 67.600 states/eV/cell.

The space group is R-3m (No. 166, hexagonal axes) and the conventional cell measures 6.9612, 6.9612 and 35.4774 Å, with angles of 90.00, 90.00 and 120.00 degrees. Symmetry generates all atoms from Tb at (0.0000, 0.5000, 0.0000), Nd at (0.0000, 0.0000, 0.0000), Nd at (0.0000, 0.0000, 0.1634), Nd at (0.0000, 0.0000, 0.5000), Ho at (0.0000, 0.0000, 0.2550) and Ho at (0.0016, 0.5008, 0.2511).


# 2
This record from Alexandria via LeMat-Bulk describes Tb5NdHo after structural relaxation. The functional is PBE-GGA.

The magnetization comes out at 0.000 μB per formula unit. Its formation energy is 4.30 kcal/mol of atoms. As for the relative energy among the computed polymorphs: 0 meV per atom. The density of states at the Fermi level comes out at 31.311 states/eV/cell.

The space group is C2/c (No. 15) and the conventional cell measures 11.763, 6.772 and 12.267 Å, with angles of 90.00, 110.79 and 90.00 degrees. Symmetry generates all atoms from Tb at (0.000, 0.091, 0.250), Tb at (0.079, 0.234, 0.001), Tb at (0.219, 0.131, 0.746), Nd at (0.000, 0.469, 0.750) and Ho at (0.250, 0.250, 0.500).


# 3
This record from Alexandria via LeMat-Bulk describes Tb3Nd5Ho3 after structural relaxation. The functional is PBE-GGA.

The magnetization comes out at 0.045 μB per formula unit. Its formation energy is 7.80 kcal/mol of atoms. As for the relative energy among the computed polymorphs: 23 meV per atom. The density of states at the Fermi level comes out at 19.191 states/eV/cell.

The space group is P-62m (No. 189) and the conventional cell measures 11.2365, 11.2365 and 3.4796 Å, with angles of 90.00, 90.00 and 120.00 degrees. Symmetry generates all atoms from Tb at (0.0000, 0.4057, 0.0000), Nd at (0.0000, 0.1620, 0.5000), Nd at (0.3333, 0.6667, 0.5000) and Ho at (0.0000, 0.6580, 0.5000).